(1)
A relaxed TcTe2Au crystal. Source: the Alexandria database, functional PBE.

a b c (Å): 4.1356 4.1356 8.5991
angles (deg): 105.99 105.99 47.58
Closest atoms and distances in Å follow each position.
Element x y z (fractional)
Tc 0.0000 0.0000 0.0000  6 Te 2.69-2.71
Te 0.3585 0.3585 0.1798  1 Au 2.64, 3 Tc 2.69-2.71
Te 0.6415 0.6415 0.8202  1 Au 2.64, 3 Tc 2.69-2.71
Au 0.5000 0.5000 0.5000  2 Te 2.64

## Properties
* uncorrected formation energy: 0.06 eV/atom
* mass density: 8.82 g/cm³
* Fermi-level density of states: 1.19 states/eV per cell
* uncorrected energy: -19.692 eV per cell
* ΔE to the lowest computed polymorph: 0 meV/atom



(2)
A relaxed TcTe2Au crystal. Source: the Alexandria database, functional PBE.

a b c (Å): 4.8791 4.8791 4.8791
angles (deg): 60.00 60.00 60.00
Closest atoms and distances in Å follow each position.
Element x y z (fractional)
Tc 0.0000 0.0000 0.0000  8 Te 2.99
Te 0.2500 0.2500 0.2500  4 Au 2.99, 4 Tc 2.99
Te 0.7500 0.7500 0.7500  4 Tc 2.99, 4 Au 2.99
Au 0.5000 0.5000 0.5000  8 Te 2.99

## Properties
* uncorrected formation energy: 0.48 eV/atom
* mass density: 11.12 g/cm³
* Fermi-level density of states: 3.09 states/eV per cell
* uncorrected energy: -17.992 eV per cell
* ΔE to the lowest computed polymorph: 425 meV/atom



(3)
A relaxed Tc2TeAu crystal. Source: the Alexandria database, functional PBE.

a b c (Å): 3.1410 4.6708 4.8211
angles (deg): 90.00 90.00 90.00
Closest atoms and distances in Å follow each position.
Element x y z (fractional)
Tc 0.0000 0.0000 0.0000  4 Au 2.81, 6 Tc 2.88-3.14
Tc 0.5000 0.0000 0.5000  4 Te 2.81, 6 Tc 2.88-3.14
Te 0.0000 0.5000 0.5000  4 Tc 2.81, 4 Au 2.88, 2 Te 3.14
Au 0.5000 0.5000 0.0000  4 Tc 2.81, 4 Te 2.88, 2 Au 3.14

## Properties
* uncorrected formation energy: 0.73 eV/atom
* mass density: 12.22 g/cm³
* Fermi-level density of states: 5.16 states/eV per cell
* uncorrected energy: -24.235 eV per cell



(4)
A relaxed Tc2TeAu crystal. Source: the Alexandria database, functional PBE.

a b c (Å): 4.4918 4.4918 5.4793
angles (deg): 100.58 100.58 40.46
Closest atoms and distances in Å follow each position.
Element x y z (fractional)
Tc 0.2483 0.2483 0.2302  3 Te 2.67-2.71, 3 Au 2.79-2.81, 2 Tc 2.97
Tc 0.7517 0.7517 0.7698  3 Te 2.67-2.71, 3 Au 2.79-2.81, 2 Tc 2.97
Te 0.5000 0.5000 0.0000  6 Tc 2.67-2.71
Au 0.0000 0.0000 0.5000  6 Tc 2.79-2.81, 2 Au 3.11

## Properties
* uncorrected formation energy: 0.49 eV/atom
* mass density: 12.29 g/cm³
* Fermi-level density of states: 4.31 states/eV per cell
* uncorrected energy: -25.183 eV per cell



(5)
A relaxed TcTeAu crystal. Source: the Alexandria database, functional PBE.

a b c (Å): 5.8543 5.8543 5.8543
angles (deg): 147.37 147.37 46.82
Closest atoms and distances in Å follow each position.
Element x y z (fractional)
Tc 0.0000 0.0000 0.0000  4 Te 2.70, 4 Au 2.95
Te 0.6279 0.6279 0.0000  4 Tc 2.70
Au 0.3317 0.3317 0.0000  4 Tc 2.95, 5 Te 3.18-3.19, 4 Au 3.29

## Properties
* uncorrected formation energy: 0.35 eV/atom
* mass density: 12.07 g/cm³
* Fermi-level density of states: 3.12 states/eV per cell
* uncorrected energy: -15.733 eV per cell
* ΔE to the lowest computed polymorph: 224 meV/atom



(6)
A relaxed Tc2TeAu crystal. Source: the Alexandria database, functional PBE.

a b c (Å): 4.9741 4.9741 4.8981
angles (deg): 99.58 99.58 36.22
Closest atoms and distances in Å follow each position.
Element x y z (fractional)
Tc 0.0000 0.0000 0.0000  2 Te 2.67, 3 Tc 2.74-2.89, 3 Au 2.85-2.91
Tc 0.7328 0.7328 0.2109  3 Tc 2.74-2.89, 4 Au 2.77-3.04, 3 Te 2.81-2.85
Te 0.4793 0.4793 0.4361  5 Tc 2.67-2.85, 1 Au 2.87
Au 0.2497 0.2497 0.7493  7 Tc 2.77-3.04, 1 Te 2.87, 2 Au 3.09

## Properties
* uncorrected formation energy: 0.48 eV/atom
* mass density: 12.26 g/cm³
* Fermi-level density of states: 4.03 states/eV per cell
* uncorrected energy: -25.240 eV per cell



Question: Among the records above, which one has the lowest uncorrected formation energy?
Answer: number 1



Question: The lowest uncorrected formation energy belongs to which entry?
Answer: number 1



Question: Which of these has the lowest Fermi-level density of states?
Answer: number 1